Entry from Alexandria via LeMat-Bulk: crystalline NiAgAu2 at its relaxed geometry (PBE).

abc: 3.8847 3.8847 9.9077
angles: 78.69 78.69 90.00
Element x y z (fractional)
Ag 0.7500 0.2500 0.5000
Ni 0.5000 0.5000 0.0000
Au 0.6180 0.1250 0.2500
Au 0.3750 0.3820 0.7500
Ag 0.0000 0.0000 0.0000
Au 0.8750 0.8680 0.7500
Au 0.1320 0.6250 0.2500
Ni 0.2500 0.7500 0.5000

* size of the total moment: 0.000 μB per formula unit
* energy relative to the lowest polymorph listed for this composition: 325 meV per atom

---

Entry from Alexandria via LeMat-Bulk: crystalline Ac2LaPd at its relaxed geometry (PBE).

abc: 3.7969 3.7969 12.0644
angles: 80.95 80.95 60.00
Element x y z (fractional)
Ac 0.0778 0.0778 0.7667
Ac 0.9222 0.9222 0.2333
La 0.5000 0.5000 0.5000
Pd 0.0000 0.0000 0.0000

* size of the total moment: 0.000 μB per formula unit
* energy relative to the lowest polymorph listed for this composition: 556 meV per atom

---

Entry from Alexandria via LeMat-Bulk: crystalline KCF5 at its relaxed geometry (PBE).

abc: 5.8897 5.8897 5.8897
angles: 131.80 103.07 96.16
Each line ends with the local moment (μB).
Element x y z (fractional)
F 0.7438 0.2718 0.0156  0.00
C 0.6390 0.5000 0.1390  0.00
F 0.6730 0.6397 0.0333  0.00
F 0.3937 0.3603 0.0333  0.00
F 0.1464 0.5000 0.6464  -0.09
F 0.7438 0.7282 0.4721  0.00
K 0.1295 0.0000 0.1295  0.00

* raw formation energy: -1323 kJ/mol of formula units
* size of the total moment: 0.110 μB per formula unit